# 1
Below is crystalline NaCdIrBr2 at its relaxed geometry, with properties calculated at the GGA-PBE level.

a = 5.602 Å, b = 5.602 Å, c = 5.294 Å
α = 90.00°, β = 90.00°, γ = 90.00°
Space group P4/mmm (No. 123)
Unique sites:
Na (0.000, 0.000, 0.000) x1
Cd (0.500, 0.500, 0.500) x1
Ir (0.500, 0.500, 0.000) x1
Br (0.000, 0.500, 0.500) x2

Computed properties:
- Energy relative to the elements, uncorrected: 1.8 eV/f.u.
- DOS at the Fermi energy: 2.7 states/eV per cell
- Raw total energy: -2.52 eV/atom

# 2
Below is crystalline Cd2Ag4Cl9 at its relaxed geometry, with properties calculated at the GGA-PBE level.

a = 6.776 Å, b = 6.820 Å, c = 18.570 Å
α = 86.52°, β = 89.94°, γ = 60.21°
Space group P-1 (No. 2)
Unique sites:
Cd (0.008, 0.000, 0.350) x2
Cd (0.009, 0.998, 0.149) x2
Ag (0.312, 0.343, 0.516) x2
Ag (0.323, 0.335, 0.820) x2
Ag (0.343, 0.331, 0.319) x2
Ag (0.345, 0.341, 0.016) x2
Cl (0.002, 0.685, 0.249) x2
Cl (0.016, 0.653, 0.922) x2
Cl (0.036, 0.322, 0.412) x2
Cl (0.288, 0.999, 0.250) x2
Cl (0.312, 0.687, 0.749) x2
Cl (0.332, 0.651, 0.422) x2
Cl (0.337, 0.007, 0.908) x2
Cl (0.343, 0.995, 0.592) x2
Cl (0.360, 0.676, 0.087) x2

Computed properties:
- Energy relative to the elements, uncorrected: -9.9 eV/f.u.
- DOS at the Fermi energy: 20.6 states/eV per cell
- Raw total energy: -2.65 eV/atom

# 3
Below is crystalline Tb7Y12Tm at its relaxed geometry, with properties calculated at the GGA-PBE level.

a = 18.6226 Å, b = 18.6226 Å, c = 6.7200 Å
α = 90.00°, β = 90.00°, γ = 120.00°
Space group R-3 (No. 148, hexagonal axes)
Unique sites:
Tb (0.0000, 0.0000, 0.0000) x3
Tb (0.0089, 0.8535, 0.2893) x18
Y (0.0001, 0.2107, 0.2066) x18
Y (0.0075, 0.4698, 0.2379) x18
Tm (0.0000, 0.0000, 0.5000) x3

Computed properties:
- DOS at the Fermi energy: 86.2 states/eV per cell
- Raw total energy: -5.40 eV/atom
- Formation energy: 0.33 eV/atom

# 4
Below is crystalline KIN2O at its relaxed geometry, with properties calculated at the GGA-PBE level.

a = 5.316 Å, b = 5.316 Å, c = 4.161 Å
α = 90.00°, β = 90.00°, γ = 90.00°
Space group P4/mmm (No. 123)
Unique sites:
K (0.000, 0.000, 0.000) x1
I (0.500, 0.500, 0.000) x1
N (0.000, 0.500, 0.500) x2
O (0.500, 0.500, 0.500) x1

Computed properties:
- Energy relative to the elements, uncorrected: 8.1 eV/f.u.
- DOS at the Fermi energy: 1.3 states/eV per cell
- Raw total energy: -3.22 eV/atom

# 5
Below is crystalline AcTm2Ru at its relaxed geometry, with properties calculated at the GGA-PBE level.

a = 3.9593 Å, b = 3.9593 Å, c = 27.6010 Å
α = 90.00°, β = 90.00°, γ = 120.00°
Space group R-3m (No. 166, hexagonal axes)
Unique sites:
Ac (0.0000, 0.0000, 0.0000) x3
Tm (0.0000, 0.0000, 0.2190) x6
Ru (0.0000, 0.0000, 0.5000) x3

Computed properties:
- DOS at the Fermi energy: 7.3 states/eV per cell
- Raw total energy: -5.67 eV/atom
- Formation energy: -0.09 eV/atom

# 6
Below is crystalline La2Ge3Pt at its relaxed geometry, with properties calculated at the GGA-PBE level.

a = 4.272 Å, b = 4.457 Å, c = 7.386 Å
α = 90.00°, β = 90.00°, γ = 90.00°
Space group Pmm2 (No. 25)
Unique sites:
La (0.000, 0.000, 0.000) x1
La (0.000, 0.500, 0.496) x1
Ge (0.500, 0.000, 0.660) x1
Ge (0.500, 0.500, 0.171) x1
Ge (0.500, 0.500, 0.829) x1
Pt (0.500, 0.000, 0.324) x1

Computed properties:
- DOS at the Fermi energy: 2.8 states/eV per cell
- Raw total energy: -5.90 eV/atom
- Formation energy: -0.94 eV/atom

Number 1 is which compound? NaCdIrBr2

What is the raw total energy in the second record? -2.65 eV/atom

The lowest DOS at the Fermi energy belongs to which entry? KIN2O